(1)
The following is a DFT calculation (PBE) of a relaxed SiAs2 crystal.

Properties
polymorph energy (0 for the lowest one): 76 meV/atom
formation energy (no corrections): -0.009 eV per atom

Unit cell a=3.676 b=7.041 c=12.246 alpha=90.00 beta=90.00 gamma=90.00
Positions (direct):
As: 0.250 0.986 0.430
As: 0.250 0.486 0.070
As: 0.250 0.015 0.864
As: 0.750 0.985 0.136
As: 0.750 0.485 0.364
As: 0.250 0.515 0.636
As: 0.750 0.014 0.570
As: 0.750 0.514 0.930
Si: 0.250 0.146 0.049
Si: 0.250 0.646 0.451
Si: 0.750 0.354 0.549
Si: 0.750 0.854 0.951

***

(2)
The following is a DFT calculation (PBE) of a relaxed SiAs5 crystal.

Properties
polymorph energy (0 for the lowest one): 457 meV/atom
formation energy (no corrections): 0.710 eV per atom
Fermi-level density of states: 3.8 states/eV/f.u.

Unit cell a=5.541 b=5.541 c=5.541 alpha=60.00 beta=60.00 gamma=60.00
Positions (direct):
Si: 0.000 0.000 0.000
As: 0.250 0.250 0.250
As: 0.626 0.122 0.626
As: 0.626 0.626 0.122
As: 0.626 0.626 0.626
As: 0.122 0.626 0.626

***

(3)
The following is a DFT calculation (PBE) of a relaxed Si2As3 crystal.

Properties
polymorph energy (0 for the lowest one): 91 meV/atom
formation energy (no corrections): 0.165 eV per atom
Fermi-level density of states: 2.1 states/eV/f.u.

Unit cell a=3.650 b=3.650 c=8.298 alpha=90.00 beta=90.00 gamma=120.00
Positions (direct):
As: 0.000 0.000 0.000
As: 0.667 0.333 0.646
As: 0.333 0.667 0.354
Si: 0.667 0.333 0.198
Si: 0.333 0.667 0.802

***

(4)
The following is a DFT calculation (PBE) of a relaxed SiAs2 crystal.

Properties
polymorph energy (0 for the lowest one): 461 meV/atom
formation energy (no corrections): 0.376 eV per atom
Fermi-level density of states: 1.4 states/eV/f.u.

Unit cell a=5.702 b=5.702 c=5.702 alpha=144.94 beta=144.94 gamma=50.43
Positions (direct):
As: 0.120 0.120 0.000
As: 0.880 0.880 0.000
Si: 0.500 0.500 0.000

***

(5)
The following is a DFT calculation (PBE) of a relaxed SiAs3 crystal.

Properties
polymorph energy (0 for the lowest one): 66 meV/atom
formation energy (no corrections): 0.163 eV per atom
Fermi-level density of states: 1.6 states/eV/f.u.

Unit cell a=3.724 b=2.705 c=8.056 alpha=109.28 beta=90.00 gamma=90.00
Positions (direct):
As: 0.000 0.008 0.013
As: 0.500 0.750 0.750
As: 0.000 0.492 0.487
Si: 0.500 0.250 0.250

***

(6)
The following is a DFT calculation (PBE) of a relaxed SiAs3 crystal.

Properties
polymorph energy (0 for the lowest one): 416 meV/atom
formation energy (no corrections): 0.513 eV per atom
Fermi-level density of states: 1.6 states/eV/f.u.

Unit cell a=5.946 b=5.946 c=5.116 alpha=90.00 beta=90.00 gamma=120.00
Positions (direct):
As: 0.373 0.187 0.750
As: 0.627 0.813 0.250
As: 0.187 0.373 0.250
As: 0.813 0.627 0.750
As: 0.813 0.187 0.750
As: 0.187 0.813 0.250
Si: 0.333 0.667 0.750
Si: 0.667 0.333 0.250

***

(7)
The following is a DFT calculation (PBE) of a relaxed SiAs crystal.

Properties
formation energy (no corrections): 0.492 eV per atom
Fermi-level density of states: 0.8 states/eV/f.u.

Unit cell a=5.635 b=5.635 c=4.711 alpha=65.85 beta=65.85 gamma=30.67
Positions (direct):
As: 0.976 0.976 0.023
As: 0.774 0.774 0.727
Si: 0.515 0.515 0.488
Si: 0.235 0.235 0.262

***

(8)
The following is a DFT calculation (PBE) of a relaxed SiAs crystal.

Properties
formation energy (no corrections): 0.546 eV per atom
Fermi-level density of states: 0.8 states/eV/f.u.

Unit cell a=4.426 b=4.426 c=9.701 alpha=90.00 beta=90.00 gamma=120.00
Positions (direct):
As: 0.667 0.333 0.622
As: 0.667 0.333 0.878
As: 0.333 0.667 0.122
As: 0.333 0.667 0.378
Si: 0.333 0.667 0.750
Si: 0.000 0.000 0.750
Si: 0.000 0.000 0.250
Si: 0.667 0.333 0.250

***

Please write out number 5 again, unchanged.
The following is a DFT calculation (PBE) of a relaxed SiAs3 crystal.

Properties
polymorph energy (0 for the lowest one): 66 meV/atom
formation energy (no corrections): 0.163 eV per atom
Fermi-level density of states: 1.6 states/eV/f.u.

Unit cell a=3.724 b=2.705 c=8.056 alpha=109.28 beta=90.00 gamma=90.00
Positions (direct):
As: 0.000 0.008 0.013
As: 0.500 0.750 0.750
As: 0.000 0.492 0.487
Si: 0.500 0.250 0.250